[1]
GGA-PBE Sr4LiAg, optimized geometry; ΔE to the lowest computed polymorph = 0.5508 eV/atom; space group = F-43m, No. 216; ΔE_f = 0.4703 eV per atom
1.0
0.0000 5.3101 5.3101
5.3101 0.0000 5.3101
5.3101 5.3101 0.0000
Sr Li Ag
4 1 1
Direct
0.1249 0.1249 0.1249
0.1249 0.1249 0.6252
0.1249 0.6252 0.1249
0.6252 0.1249 0.1249
0.5000 0.5000 0.5000
0.7500 0.7500 0.7500

---

[2]
GGA-PBE Tm2AsPRh6, optimized geometry; space group = Pmmn, No. 59; ΔE_f = -0.6899 eV per atom
1.0
5.8367 0.0000 0.0000
0.0000 8.5743 0.0000
0.0000 0.0000 7.2328
Tm As P Rh
4 2 2 12
Direct
0.2500 0.0193 0.2423
0.2500 0.4807 0.2423
0.7500 0.5193 0.7577
0.7500 0.9807 0.7577
0.2500 0.7500 0.7900
0.7500 0.2500 0.2100
0.2500 0.2500 0.7266
0.7500 0.7500 0.2734
0.0173 0.7500 0.4940
0.0194 0.7500 0.0634
0.2500 0.5011 0.6393
0.2500 0.9989 0.6393
0.4806 0.7500 0.0634
0.4827 0.7500 0.4940
0.5173 0.2500 0.5060
0.5194 0.2500 0.9366
0.7500 0.0011 0.3607
0.7500 0.4989 0.3607
0.9806 0.2500 0.9366
0.9827 0.2500 0.5060

---

[3]
GGA-PBE LiCa2VIr, optimized geometry; space group = P4/mmm, No. 123; ΔE_f = 0.4905 eV per atom
1.0
5.6402 0.0000 0.0000
0.0000 5.6402 0.0000
0.0000 0.0000 4.4966
Li Ca V Ir
1 2 1 1
Direct
0.0000 0.0000 0.0000
0.0000 0.5000 0.5000
0.5000 0.0000 0.5000
0.5000 0.5000 0.5000
0.5000 0.5000 0.0000